DFT (PBE-GGA) results for an optimized crystal structure of K3MgCd.

abc: 6.7053 6.7053 6.7053
angles: 90.00 90.00 90.00
With the nearest neighbours (Å) after each atom.
Sites, in units of the cell vectors:
K 0.0000 0.0000 0.5000  2 Cd 3.35
Cd 0.0000 0.0000 0.0000  6 K 3.35
K 0.0000 0.5000 0.0000  2 Cd 3.35
K 0.5000 0.0000 0.0000  2 Cd 3.35
Mg 0.5000 0.5000 0.5000  12 K 4.74

Calculated values
Energy relative to the lowest polymorph listed for this composition: 0.000 eV/atom
Magnetic moment: 0.00 μB per cell
N(E_F): 3.9 states/eV/cell
DFT total energy: -0.8818 eV per atom
V: 301.5 Å³/f.u.
ΔH_f (0 K): 0.279 eV/atom

DFT (PBE-GGA) results for an optimized crystal structure of KMgCd2.

abc: 5.4853 5.4853 10.9021
angles: 75.43 75.43 90.00
With the nearest neighbours (Å) after each atom.
Sites, in units of the cell vectors:
Mg 0.5000 0.5000 0.0000  4 Cd 2.92
Mg 0.2500 0.7500 0.5000  4 Cd 2.92
Cd 0.3750 0.5511 0.7500  2 Cd 2.86, 2 Mg 2.92
Cd 0.3011 0.6250 0.2500  2 Cd 2.86, 2 Mg 2.92
Cd 0.8750 0.6989 0.7500  2 Cd 2.86, 2 Mg 2.92
K 0.7500 0.2500 0.5000  4 Cd 3.72, 4 Mg 3.88
Cd 0.4489 0.1250 0.2500  2 Cd 2.86, 2 Mg 2.92
K 0.0000 0.0000 0.0000  4 Cd 3.72, 4 Mg 3.88

Calculated values
Magnetic moment: 0.00 μB per cell
N(E_F): 4.3 states/eV/cell
DFT total energy: -1.0085 eV per atom
V: 153.3 Å³/f.u.
ΔH_f (0 K): 0.122 eV/atom

DFT (PBE-GGA) results for an optimized crystal structure of K2MgCd5.

abc: 7.6583 7.6436 7.6436
angles: 77.80 127.36 127.36
With the nearest neighbours (Å) after each atom.
Sites, in units of the cell vectors:
Mg 0.0078 0.4627 0.4627  5 Cd 2.79-2.88
Cd 0.5133 0.8422 0.8422  1 Mg 2.85, 1 Cd 2.89
Cd 0.9891 0.8348 0.3356  1 Mg 2.86, 1 Cd 2.88
Cd 0.9891 0.3356 0.8348  1 Mg 2.86, 1 Cd 2.88
K 0.4888 0.3259 0.8406  10 Cd 3.64-3.85, 2 Mg 3.67-3.69
Cd 0.5144 0.3527 0.3527  1 Cd 2.87, 1 Mg 2.88
K 0.4888 0.8406 0.3259  10 Cd 3.64-3.85, 2 Mg 3.67-3.69
Cd 0.0086 0.2286 0.2286  1 Mg 2.79, 4 Cd 2.87-2.89

Calculated values
Magnetic moment: 0.00 μB per cell
N(E_F): 3.1 states/eV/cell
DFT total energy: -1.0395 eV per atom
V: 273.8 Å³/f.u.
ΔH_f (0 K): 0.006 eV/atom

DFT (PBE-GGA) results for an optimized crystal structure of KMg3Cd.

abc: 5.4538 5.4538 5.4538
angles: 90.00 90.00 90.00
With the nearest neighbours (Å) after each atom.
Sites, in units of the cell vectors:
Mg 0.0000 0.5000 0.0000  2 Cd 2.73
K 0.5000 0.5000 0.5000  12 Mg 3.86
Cd 0.0000 0.0000 0.0000  6 Mg 2.73
Mg 0.0000 0.0000 0.5000  2 Cd 2.73
Mg 0.5000 0.0000 0.0000  2 Cd 2.73

Calculated values
Energy relative to the lowest polymorph listed for this composition: 0.000 eV/atom
Magnetic moment: 0.00 μB per cell
N(E_F): 2.0 states/eV/cell
DFT total energy: -1.1949 eV per atom
V: 162.2 Å³/f.u.
ΔH_f (0 K): 0.164 eV/atom

DFT (PBE-GGA) results for an optimized crystal structure of KMg2Cd.

abc: 3.4395 3.9890 8.9576
angles: 90.00 90.00 90.00
With the nearest neighbours (Å) after each atom.
Sites, in units of the cell vectors:
K 0.5000 0.5000 0.7500  2 K 3.44
Cd 0.5000 0.5000 0.2500  8 Mg 3.07
Mg 0.0000 0.0000 0.4260  4 Cd 3.07, 1 Mg 3.15
Mg 0.0000 0.0000 0.0740  4 Cd 3.07, 1 Mg 3.15

Calculated values
Magnetic moment: 0.00 μB per cell
N(E_F): 2.4 states/eV/cell
DFT total energy: -1.2138 eV per atom
V: 122.9 Å³/f.u.
ΔH_f (0 K): 0.087 eV/atom

DFT (PBE-GGA) results for an optimized crystal structure of KMg4Cd5.

abc: 3.6230 3.6230 18.5503
angles: 90.00 90.00 90.00
With the nearest neighbours (Å) after each atom.
Sites, in units of the cell vectors:
Cd 0.5000 0.5000 0.5000  8 Mg 3.04, 2 Cd 3.29
K 0.0000 0.0000 0.0000  4 K 3.62, 8 Cd 3.68
Cd 0.5000 0.5000 0.3229  8 Mg 3.04-3.06, 2 Cd 3.29-3.35
Mg 0.0000 0.0000 0.7675  8 Cd 3.06, 1 Mg 3.32
Mg 0.0000 0.0000 0.2325  8 Cd 3.06, 1 Mg 3.32
Cd 0.5000 0.5000 0.6771  8 Mg 3.04-3.06, 2 Cd 3.29-3.35
Mg 0.0000 0.0000 0.4114  8 Cd 3.04, 2 Mg 3.29-3.32
Cd 0.5000 0.5000 0.1424  4 Mg 3.06, 1 Cd 3.35
Cd 0.5000 0.5000 0.8576  4 Mg 3.06, 1 Cd 3.35
Mg 0.0000 0.0000 0.5886  8 Cd 3.04, 2 Mg 3.29-3.32

Calculated values
Magnetic moment: 0.00 μB per cell
N(E_F): 3.5 states/eV/cell
DFT total energy: -1.2729 eV per atom
V: 243.5 Å³/f.u.
ΔH_f (0 K): -0.068 eV/atom

DFT (PBE-GGA) results for an optimized crystal structure of K2MgCd.

abc: 5.1182 3.9289 8.8662
angles: 64.74 90.00 90.00
With the nearest neighbours (Å) after each atom.
Sites, in units of the cell vectors:
Mg 0.5000 0.2500 0.2500  8 K 3.81-3.85, 2 Mg 3.93, 2 Cd 4.01
K 0.0000 0.4941 0.5069  4 Cd 3.75-3.79, 4 Mg 3.81-3.85, 4 K 3.90-4.12
Cd 0.5000 0.7500 0.7500  8 K 3.75-3.79, 2 Cd 3.93, 2 Mg 4.01
K 0.0000 0.0059 0.9931  4 Cd 3.75-3.79, 4 Mg 3.81-3.85, 4 K 3.90-4.12

Calculated values
Energy relative to the lowest polymorph listed for this composition: 0.093 eV/atom
Magnetic moment: 0.00 μB per cell
N(E_F): 2.3 states/eV/cell
DFT total energy: -1.0458 eV per atom
V: 161.2 Å³/f.u.
ΔH_f (0 K): 0.130 eV/atom

DFT (PBE-GGA) results for an optimized crystal structure of KMg3Cd2.

abc: 4.8144 6.3513 6.3513
angles: 120.00 90.00 90.00
With the nearest neighbours (Å) after each atom.
Sites, in units of the cell vectors:
Mg 0.5000 0.0000 0.5000  4 Cd 3.03, 4 Mg 3.18
Cd 0.0000 0.6667 0.3333  6 Mg 3.03
K 0.0000 0.0000 0.0000  6 Cd 3.67, 12 Mg 3.98
Cd 0.0000 0.3333 0.6667  6 Mg 3.03
Mg 0.5000 0.5000 0.5000  4 Cd 3.03, 4 Mg 3.18
Mg 0.5000 0.5000 0.0000  4 Cd 3.03, 4 Mg 3.18

Calculated values
Magnetic moment: 0.00 μB per cell
N(E_F): 3.0 states/eV/cell
DFT total energy: -1.3102 eV per atom
V: 168.2 Å³/f.u.
ΔH_f (0 K): -0.025 eV/atom

DFT (PBE-GGA) results for an optimized crystal structure of KMgCd3.

abc: 7.3371 7.3371 13.6165
angles: 90.00 90.00 120.00
With the nearest neighbours (Å) after each atom.
Sites, in units of the cell vectors:
Mg 0.3333 0.6667 0.8582  6 Cd 2.87-2.93, 1 Mg 2.95
K 0.3333 0.6667 0.2500  12 Cd 3.69-4.01
Cd 0.8658 0.7316 0.2500  2 Mg 2.93, 2 Cd 2.95
Cd 0.0000 0.5000 0.5000  2 Mg 2.87
Cd 0.0000 0.5000 0.0000  2 Mg 2.87
Cd 0.5000 0.0000 0.5000  2 Mg 2.87
K 0.0000 0.0000 0.5000  12 Cd 3.67-3.81
K 0.6667 0.3333 0.7500  12 Cd 3.69-4.01
Mg 0.3333 0.6667 0.6418  6 Cd 2.87-2.93, 1 Mg 2.95
Cd 0.1342 0.8658 0.7500  2 Mg 2.93, 2 Cd 2.95
Cd 0.7316 0.8658 0.7500  2 Mg 2.93, 2 Cd 2.95
Cd 0.5000 0.5000 0.5000  2 Mg 2.87
K 0.0000 0.0000 0.0000  12 Cd 3.67-3.81
Cd 0.2684 0.1342 0.2500  2 Mg 2.93, 2 Cd 2.95
Cd 0.5000 0.5000 0.0000  2 Mg 2.87
Mg 0.6667 0.3333 0.3582  6 Cd 2.87-2.93, 1 Mg 2.95
Cd 0.8658 0.1342 0.2500  2 Mg 2.93, 2 Cd 2.95
Mg 0.6667 0.3333 0.1418  6 Cd 2.87-2.93, 1 Mg 2.95
Cd 0.1342 0.2684 0.7500  2 Mg 2.93, 2 Cd 2.95
Cd 0.5000 0.0000 0.0000  2 Mg 2.87

Calculated values
Energy relative to the lowest polymorph listed for this composition: 0.088 eV/atom
Magnetic moment: 0.00 μB per cell
N(E_F): 14.8 states/eV/cell
DFT total energy: -1.0468 eV per atom
V: 158.7 Å³/f.u.
ΔH_f (0 K): 0.041 eV/atom

DFT (PBE-GGA) results for an optimized crystal structure of KMgCd2.

abc: 5.0153 5.0153 6.9595
angles: 68.88 68.88 60.00
With the nearest neighbours (Å) after each atom.
Sites, in units of the cell vectors:
Cd 0.9967 0.9967 0.0099  3 Cd 2.91, 3 Mg 2.93
Mg 0.6879 0.6879 0.9364  6 Cd 2.93-3.00
K 0.5020 0.5020 0.4939  1 Mg 3.53, 1 Cd 3.58
Cd 0.3134 0.3134 0.0597  3 Cd 2.91, 3 Mg 3.00

Calculated values
Magnetic moment: 0.00 μB per cell
N(E_F): 2.6 states/eV/cell
DFT total energy: -1.1633 eV per atom
V: 137.9 Å³/f.u.
ΔH_f (0 K): -0.033 eV/atom

DFT (PBE-GGA) results for an optimized crystal structure of K2MgCd.

abc: 7.0266 7.0266 6.1105
angles: 64.15 64.15 38.17
With the nearest neighbours (Å) after each atom.
Sites, in units of the cell vectors:
K 0.2317 0.2317 0.2683  4 K 3.88-4.18, 4 Cd 3.89-3.90, 4 Mg 3.97-4.07
Mg 0.4464 0.4464 0.5529  2 Cd 2.92
K 0.0280 0.0280 0.9718  4 K 3.88-4.18, 4 Cd 3.88-4.12, 4 Mg 3.94-3.95
Cd 0.7939 0.7939 0.7070  2 Mg 2.92

Calculated values
Energy relative to the lowest polymorph listed for this composition: 0.021 eV/atom
Magnetic moment: 0.00 μB per cell
N(E_F): 1.9 states/eV/cell
DFT total energy: -1.1174 eV per atom
V: 165.4 Å³/f.u.
ΔH_f (0 K): 0.059 eV/atom

DFT (PBE-GGA) results for an optimized crystal structure of K2MgCd3.

abc: 6.4582 6.4582 6.3293
angles: 90.79 120.40 119.37
With the nearest neighbours (Å) after each atom.
Sites, in units of the cell vectors:
K 0.2474 0.6234 0.8708  9 Cd 3.70-3.77, 3 Mg 3.77-3.81, 4 K 3.79-3.97
Cd 0.5000 0.5000 0.5000  2 Mg 3.16, 4 Cd 3.23-3.26
K 0.7526 0.3766 0.1292  9 Cd 3.70-3.77, 3 Mg 3.77-3.81, 4 K 3.79-3.97
Mg 0.0000 0.0000 0.0000  6 Cd 3.16-3.18
Cd 0.5000 0.0000 0.5000  2 Mg 3.18, 4 Cd 3.23
Cd 0.0000 0.0000 0.5000  2 Mg 3.16, 4 Cd 3.23-3.26

Calculated values
Magnetic moment: 0.00 μB per cell
N(E_F): 2.4 states/eV/cell
DFT total energy: -1.1510 eV per atom
V: 186.0 Å³/f.u.
ΔH_f (0 K): -0.062 eV/atom